Entry 1:
Density functional theory data (PBE) for crystalline ScBeRuBr2 at its relaxed geometry.

Cell and atoms, written as POSCAR:
```
ScBeRuBr2
1.0
4.476 0.000 0.000
0.000 4.476 0.000
0.000 0.000 5.228
Sc Be Ru Br
1 1 1 2
Direct
0.000 0.000 0.000
0.000 0.000 0.500
0.500 0.500 0.000
0.000 0.500 0.500
0.500 0.000 0.500
```

## Properties
ΔE_f (raw) (eV per atom): 0.78
Space group: No. 123
V (Å³/atom): 20.95
Fermi-level density of states (states/eV/cell): 6.104
Spin magnetization (μB per formula unit): 1.85

***

Entry 2:
Density functional theory data (PBE) for crystalline BeRuSe2Br at its relaxed geometry.

Cell and atoms, written as POSCAR:
```
BeRuSe2Br
1.0
4.797 0.000 0.000
0.000 4.797 0.000
0.000 0.000 5.244
Be Ru Se Br
1 1 2 1
Direct
0.000 0.000 0.000
0.500 0.500 0.500
0.000 0.500 0.500
0.500 0.000 0.500
0.500 0.500 0.000
```

## Properties
ΔE_f (raw) (eV per atom): 0.75
Space group: No. 123
V (Å³/atom): 24.14
Fermi-level density of states (states/eV/cell): 5.823
Excess energy over the best structure of this formula in the dataset (meV per atom): 8
Spin magnetization (μB per formula unit): 0.00

***

Entry 3:
Density functional theory data (PBE) for crystalline BeRuSe2Br at its relaxed geometry.

Cell and atoms, written as POSCAR:
```
BeRuSe2Br
1.0
4.583 0.000 0.000
0.000 4.583 0.000
0.000 0.000 4.756
Be Ru Se Br
1 1 2 1
Direct
0.000 0.000 0.000
0.500 0.500 0.500
0.000 0.500 0.000
0.500 0.000 0.000
0.000 0.000 0.500
```

## Properties
ΔE_f (raw) (eV per atom): 0.74
Space group: No. 123
V (Å³/atom): 19.98
Fermi-level density of states (states/eV/cell): 6.408
Excess energy over the best structure of this formula in the dataset (meV per atom): 0
Spin magnetization (μB per formula unit): 3.05

***

Please write out number 1 again, unchanged.
Density functional theory data (PBE) for crystalline ScBeRuBr2 at its relaxed geometry.

Cell and atoms, written as POSCAR:
```
ScBeRuBr2
1.0
4.476 0.000 0.000
0.000 4.476 0.000
0.000 0.000 5.228
Sc Be Ru Br
1 1 1 2
Direct
0.000 0.000 0.000
0.000 0.000 0.500
0.500 0.500 0.000
0.000 0.500 0.500
0.500 0.000 0.500
```

## Properties
ΔE_f (raw) (eV per atom): 0.78
Space group: No. 123
V (Å³/atom): 20.95
Fermi-level density of states (states/eV/cell): 6.104
Spin magnetization (μB per formula unit): 1.85

***

Q: Which value of spin magnetization does entry 3 give?
A: 3.05 μB per formula unit

***

Q: Among the records above, which one has the highest V?
A: number 2

***

Q: What is the ΔE_f (raw) in the second record?
A: 0.75 eV per atom